The following is a DFT calculation (PBE) of an optimized crystal structure of AuS2I.

Output
ΔE_f (raw) (meV/atom): 504
Crystal system: tetragonal
Fermi-level density of states (states/eV/atom): 0.503
Total magnetization (μB per cell): 0.0
Mass density (g cm⁻³): 6.55

Cell lengths 7.047, 7.047, 7.926 Å; angles 90.00, 90.00, 90.00 degrees
Space group I-42d (No. 122)
Asymmetric unit:
Au: 0.000 0.000 0.000 (multiplicity 4)
S: 0.200 0.250 0.125 (multiplicity 8)
I: 0.000 0.000 0.500 (multiplicity 4)



The following is a DFT calculation (PBE) of an optimized crystal structure of AuS5I.

Output
ΔE_f (raw) (meV/atom): 171
Crystal system: triclinic
Fermi-level density of states (states/eV/atom): 0.034
Total magnetization (μB per cell): 0.0
Mass density (g cm⁻³): 3.59

Cell lengths 4.110, 7.550, 8.092 Å; angles 66.11, 77.14, 86.53 degrees
Space group P1 (No. 1)
Asymmetric unit:
Au: 0.000 0.000 0.000 (multiplicity 1)
S: 0.071 0.466 0.981 (multiplicity 1)
S: 0.260 0.842 0.346 (multiplicity 1)
S: 0.479 0.444 0.818 (multiplicity 1)
S: 0.531 0.164 0.826 (multiplicity 1)
S: 0.654 0.737 0.229 (multiplicity 1)
I: 0.461 0.029 0.507 (multiplicity 1)



The following is a DFT calculation (PBE) of an optimized crystal structure of Sb2AuSI.

Output
ΔE_f (raw) (meV/atom): 782
Crystal system: tetragonal
Fermi-level density of states (states/eV/atom): 0.804
Total magnetization (μB per cell): 0.0
ΔE to the lowest computed polymorph (meV/atom): 32
Mass density (g cm⁻³): 6.19

Cell lengths 5.467, 5.467, 5.378 Å; angles 90.00, 90.00, 90.00 degrees
Space group P4/mmm (No. 123)
Asymmetric unit:
Sb: 0.000 0.500 0.000 (multiplicity 2)
Au: 0.000 0.000 0.000 (multiplicity 1)
S: 0.500 0.500 0.500 (multiplicity 1)
I: 0.000 0.000 0.500 (multiplicity 1)